1.
Hg2SbRu | GGA-PBEsol | relaxed

```
Hg2SbRu
1.0
3.212 0.000 0.000
-1.606 2.782 0.000
0.000 0.000 27.969
Hg Sb Ru
6 3 3
Cartesian
0.000 0.000 0.000
0.000 0.000 6.783
0.000 1.855 18.646
0.000 1.855 25.430
1.606 0.927 9.323
1.606 0.927 16.107
0.000 0.000 13.291
0.000 1.855 3.968
1.606 0.927 22.614
0.000 0.000 20.804
0.000 1.855 11.481
1.606 0.927 2.157
```

SG ... R3m
Raw formation energy ... 168 meV per atom



2.
CaMgSe2 | GGA-PBEsol | relaxed

```
CaMgSe2
1.0
4.009 0.000 0.000
-2.005 3.472 0.000
0.000 0.000 19.595
Ca Mg Se
3 3 6
Cartesian
0.000 0.000 0.000
0.000 2.315 13.064
2.005 1.157 6.532
0.000 0.000 9.798
0.000 2.315 3.266
2.005 1.157 16.329
0.000 0.000 4.770
0.000 0.000 14.826
0.000 2.315 8.294
0.000 2.315 17.833
2.005 1.157 1.762
2.005 1.157 11.302
```

SG ... R-3m
Raw formation energy ... -1637 meV per atom



3.
TaRu2Au | GGA-PBEsol | relaxed

```
TaRu2Au
1.0
3.988 0.000 0.000
0.000 3.988 0.000
0.000 0.000 3.738
Ta Ru Au
1 2 1
Cartesian
0.000 0.000 0.000
0.000 1.994 1.869
1.994 0.000 1.869
1.994 1.994 0.000
```

SG ... P4/mmm
Formation energy ... -0.179 eV/atom
Polymorph energy (0 for the lowest one) ... 0.00 kJ/mol of atoms



4.
AlFe2BiO | GGA-PBEsol | relaxed

```
AlFe2BiO
1.0
4.436 0.000 0.000
0.000 4.436 0.000
0.000 0.000 3.599
Al Fe Bi O
1 2 1 1
Cartesian
0.000 0.000 0.000
0.000 2.218 1.799
2.218 0.000 1.799
2.218 2.218 0.000
0.000 0.000 1.799
```

SG ... P4/mmm
Raw formation energy ... -72 meV per atom



5.
Be2NbIr2 | GGA-PBEsol | relaxed

```
Be2NbIr2
1.0
6.671 0.000 0.000
0.000 6.671 0.000
0.000 0.000 2.756
Be Nb Ir
4 2 4
Cartesian
0.784 2.552 0.000
2.552 5.888 0.000
4.120 0.784 0.000
5.888 4.120 0.000
0.000 0.000 0.000
3.336 3.336 0.000
1.163 4.499 1.378
2.172 1.163 1.378
4.499 5.508 1.378
5.508 2.172 1.378
```

SG ... P4/mbm
Formation energy ... -0.499 eV/atom



6.
LaAlPb | GGA-PBEsol | relaxed

```
LaAlPb
1.0
7.005 0.000 0.000
0.000 7.005 0.000
0.000 0.000 7.005
La Al Pb
4 4 4
Cartesian
0.000 0.000 0.000
0.000 3.503 3.503
3.503 0.000 3.503
3.503 3.503 0.000
1.751 1.751 1.751
1.751 5.254 5.254
5.254 1.751 5.254
5.254 5.254 1.751
0.000 0.000 3.503
0.000 3.503 0.000
3.503 0.000 0.000
3.503 3.503 3.503
```

SG ... F-43m
Formation energy ... -0.170 eV/atom



Q: Number 5 is which compound?
A: Be2NbIr2